(1)
Here is Ce3Pm4HoSe8 after structural relaxation from Alexandria via LeMat-Bulk. Energies are from GGA-PBE.

Cell: 8.3614 8.3614 8.3614 Å, 60.01 60.01 60.01°
Fractional positions:
1 Ce 0.0000 0.5000 0.5000
2 Ce 0.5000 0.0000 0.5000
3 Ce 0.5000 0.5000 0.0000
4 Pm 0.0000 0.0000 0.5000
5 Pm 0.0000 0.5000 0.0000
6 Pm 0.5000 0.0000 0.0000
7 Pm 0.5000 0.5000 0.5000
8 Ho 0.0000 0.0000 0.0000
9 Se 0.2455 0.7545 0.7545
10 Se 0.2455 0.2455 0.7545
11 Se 0.2455 0.7545 0.2455
12 Se 0.2498 0.2498 0.2498
13 Se 0.7502 0.7502 0.7502
14 Se 0.7545 0.2455 0.7545
15 Se 0.7545 0.7545 0.2455
16 Se 0.7545 0.2455 0.2455

Output
The raw total energy is -98.38 eV/f.u. The calculation puts the uncorrected formation energy at -1.82 eV per atom.



(2)
Here is In2PdAu4 after structural relaxation from Alexandria via LeMat-Bulk. Energies are from GGA-PBE.

Cell: 7.7698 8.6856 4.1446 Å, 90.00 90.00 90.00°
Fractional positions:
1 In 0.2374 0.0000 0.0000
2 In 0.2626 0.5000 0.0000
3 In 0.7374 0.5000 0.0000
4 In 0.7626 0.0000 0.0000
5 Pd 0.0000 0.5000 0.5000
6 Pd 0.5000 0.0000 0.5000
7 Au 0.0000 0.2499 0.0000
8 Au 0.0000 0.7501 0.0000
9 Au 0.2500 0.2500 0.5000
10 Au 0.2500 0.7500 0.5000
11 Au 0.5000 0.2501 0.0000
12 Au 0.5000 0.7499 0.0000
13 Au 0.7500 0.2500 0.5000
14 Au 0.7500 0.7500 0.5000

Output
For the formation enthalpy at 0 K, the calculation gives -0.20 eV/atom. The energy above the most stable polymorph in this dataset is 0 meV per atom. The raw total energy is -25.19 eV/f.u.



(3)
Here is Pm3Pr3Dy after structural relaxation from Alexandria via LeMat-Bulk. Energies are from GGA-PBE.

Cell: 9.0214 9.0214 9.0214 Å, 58.53 58.53 58.53°
Fractional positions:
1 Pm 0.0679 0.2215 0.5685
2 Pm 0.2215 0.5685 0.0679
3 Pm 0.4315 0.9321 0.7785
4 Pm 0.5685 0.0679 0.2215
5 Pm 0.7785 0.4315 0.9321
6 Pm 0.9321 0.7785 0.4315
7 Pr 0.2037 0.4376 0.6833
8 Pr 0.3167 0.7963 0.5624
9 Pr 0.4376 0.6833 0.2037
10 Pr 0.5624 0.3167 0.7963
11 Pr 0.6833 0.2037 0.4376
12 Pr 0.7963 0.5624 0.3167
13 Dy 0.1542 0.1542 0.1542
14 Dy 0.8458 0.8458 0.8458

Output
For the formation enthalpy at 0 K, the calculation gives 0.22 eV/atom. The energy above the most stable polymorph in this dataset is 194 meV per atom. The raw total energy is -31.64 eV/f.u.



The lowest raw total energy belongs to which entry?
Ce3Pm4HoSe8



Number 3 is which compound?
Pm3Pr3Dy



Number 2 is which compound?
In2PdAu4